A plane-wave DFT calculation with PBE was carried out for a geometry-optimized MnTe2Au structure.

Values from the calculation:
* relative energy among the computed polymorphs: 0.31 eV/f.u.
* spin magnetization: 1.64 μB per formula unit
* raw formation energy: -0.01 eV per atom

Structure (POSCAR):
```
MnTe2Au
1.0
7.928 0.000 0.000
0.000 3.846 0.000
0.000 0.000 12.601
Te Au Mn
8 4 4
direct
0.765 0.250 0.452
0.735 0.750 0.952
0.235 0.750 0.548
0.265 0.250 0.048
0.577 0.250 0.725
0.923 0.750 0.225
0.423 0.750 0.275
0.077 0.250 0.775
0.187 0.250 0.342
0.313 0.750 0.842
0.813 0.750 0.658
0.687 0.250 0.158
0.027 0.250 0.574
0.473 0.750 0.074
0.973 0.750 0.426
0.527 0.250 0.926
```